The following is a PBEsol calculation of an optimized crystal structure of HfSc2P, from the Alexandria database.

extended XYZ file:
```
4
Lattice="-0.481 -3.088 0.128 0.086 -1.484 2.753 -10.065 0.072 2.130" Properties=species:S:1:pos:R:3 pbc="T T T"
Hf -5.230 -2.250 2.505
P 0.000 0.000 0.000
Sc -2.901 -4.169 3.176
Sc -7.559 -0.331 1.835
```

* energy: -7.249 eV per atom

The following is a PBEsol calculation of an optimized crystal structure of Hf2PSe, from the Alexandria database.

extended XYZ file:
```
8
Lattice="-4.519 2.491 2.666 -3.613 -3.646 -2.717 4.573 -3.190 4.406" Properties=species:S:1:pos:R:3 pbc="T T T"
Se 0.000 0.000 0.000
Hf 2.346 -2.605 3.248
P -2.006 -0.638 3.523
Hf -3.797 -3.007 -0.227
Hf -1.586 -3.047 3.323
Se -1.553 -3.707 0.831
Hf -4.082 -0.031 2.366
P -4.066 -0.577 -0.026
```

* formation energy from raw total energies: -494 meV/atom
* energy: -8.156 eV per atom

The following is a PBEsol calculation of an optimized crystal structure of HfSi2TcP, from the Alexandria database.

extended XYZ file:
```
5
Lattice="-3.767 2.400 -0.080 -2.165 -3.468 -2.085 -1.182 -1.719 4.088" Properties=species:S:1:pos:R:3 pbc="T T T"
P -1.884 1.200 -0.040
Si -0.591 -0.860 2.044
Tc 0.000 0.000 0.000
Hf -3.557 -1.393 0.961
Si -1.083 -1.734 -1.042
```

* formation energy from raw total energies: 577 meV/atom
* energy: -7.233 eV per atom

The following is a PBEsol calculation of an optimized crystal structure of HfTcP3, from the Alexandria database.

extended XYZ file:
```
5
Lattice="4.843 0.000 0.000 0.000 4.843 0.000 0.000 0.000 4.843" Properties=species:S:1:pos:R:3 pbc="T T T"
P 0.000 0.000 2.422
Hf 0.000 0.000 0.000
Tc 2.422 2.422 2.422
P 0.000 2.422 0.000
P 2.422 0.000 0.000
```

* energy: -6.720 eV per atom

The following is a PBEsol calculation of an optimized crystal structure of HfTlP2, from the Alexandria database.

extended XYZ file:
```
4
Lattice="-0.254 -3.221 3.436 3.689 -2.803 0.882 2.502 0.570 3.957" Properties=species:S:1:pos:R:3 pbc="T T T"
P 1.484 -1.364 2.069
P 4.453 -4.091 6.206
Tl 2.969 -2.727 4.137
Hf 0.000 0.000 0.000
```

* energy: -6.175 eV per atom

The following is a PBEsol calculation of an optimized crystal structure of Hf3TlP, from the Alexandria database.

extended XYZ file:
```
5
Lattice="4.772 0.000 0.000 0.000 4.772 0.000 0.000 0.000 4.772" Properties=species:S:1:pos:R:3 pbc="T T T"
Tl 2.386 2.386 2.386
Hf 0.000 0.000 2.386
P 0.000 0.000 0.000
Hf 0.000 2.386 0.000
Hf 2.386 0.000 0.000
```

* energy: -8.181 eV per atom

The following is a PBEsol calculation of an optimized crystal structure of HfTlP3, from the Alexandria database.

extended XYZ file:
```
5
Lattice="4.857 0.000 0.000 0.000 4.857 0.000 0.000 0.000 4.857" Properties=species:S:1:pos:R:3 pbc="T T T"
P 0.000 0.000 2.428
Tl 0.000 0.000 0.000
P 0.000 2.428 0.000
Hf 2.428 2.428 2.428
P 2.428 0.000 0.000
```

* energy: -4.760 eV per atom

The following is a PBEsol calculation of an optimized crystal structure of HfVP, from the Alexandria database.

extended XYZ file:
```
12
Lattice="3.441 0.000 0.000 0.000 6.519 0.000 0.000 0.000 7.770" Properties=species:S:1:pos:R:3 pbc="T T T"
Hf 0.860 3.516 2.573
V 0.860 4.111 7.316
V 2.581 5.668 3.431
Hf 0.860 0.256 1.312
V 2.581 2.408 0.454
P 2.581 1.556 2.815
P 0.860 1.704 6.700
V 0.860 0.852 4.339
P 2.581 4.816 1.070
P 0.860 4.964 4.955
Hf 2.581 3.004 5.197
Hf 2.581 6.264 6.458
```

* energy: -9.800 eV per atom

The following is a PBEsol calculation of an optimized crystal structure of Hf9PW4, from the Alexandria database.

extended XYZ file:
```
28
Lattice="-6.965 4.217 -2.597 5.075 -3.806 -5.727 -4.609 -7.187 0.692" Properties=species:S:1:pos:R:3 pbc="T T T"
Hf -3.831 -2.331 -1.845
Hf -4.867 -4.875 -3.522
Hf -2.743 0.734 -5.515
Hf -4.601 -2.164 -5.236
Hf -1.973 0.566 -2.124
W -9.093 -2.059 -2.424
Hf -2.669 -4.445 -5.787
Hf -3.757 -7.510 -2.118
Hf -1.633 -1.901 -4.110
Hf 0.317 -3.363 -6.310
W 0.000 0.000 0.000
W -2.065 -1.897 -6.946
Hf 1.043 -3.521 -3.112
Hf 0.168 -6.162 -4.729
Hf -1.690 -9.060 -4.450
W -2.305 -3.593 0.346
Hf -7.543 -3.255 -4.520
P -2.396 -6.522 -4.165
P -4.104 -0.254 -3.468
W -5.699 -4.605 -6.254
Hf -6.668 -0.614 -2.903
Hf -4.527 -7.343 -5.508
W -4.435 -4.879 -0.687
W -0.801 -2.172 -1.378
Hf -6.817 -3.413 -1.322
Hf -4.810 2.284 -3.182
Hf -1.899 -4.612 -2.397
W 2.593 -4.717 -5.209
```

* energy: -11.412 eV per atom

The following is a PBEsol calculation of an optimized crystal structure of Hf2ZrP2, from the Alexandria database.

extended XYZ file:
```
10
Lattice="3.537 0.000 0.000 0.000 6.907 0.000 0.000 0.000 6.907" Properties=species:S:1:pos:R:3 pbc="T T T"
P 0.000 5.961 4.399
Zr 0.000 3.453 3.453
Hf 1.768 1.117 4.570
P 0.000 0.946 2.507
Hf 1.768 5.790 2.337
Hf 1.768 2.337 1.117
P 0.000 4.399 0.946
Zr 0.000 0.000 0.000
Hf 1.768 4.570 5.790
P 0.000 2.507 5.961
```

* energy: -9.554 eV per atom

The following is a PBEsol calculation of an optimized crystal structure of HfPaTc2, from the Alexandria database.

extended XYZ file:
```
4
Lattice="4.683 0.000 0.000 2.342 4.056 0.000 2.342 1.352 3.824" Properties=species:S:1:pos:R:3 pbc="T T T"
Hf 4.683 2.704 1.912
Tc 2.342 1.352 0.956
Pa 0.000 0.000 0.000
Tc 7.025 4.056 2.868
```

* energy: -11.143 eV per atom

The following is a PBEsol calculation of an optimized crystal structure of Hf5Pb, from the Alexandria database.

extended XYZ file:
```
6
Lattice="-1.626 1.099 -2.465 -1.637 -2.689 -0.119 -9.123 5.184 8.330" Properties=species:S:1:pos:R:3 pbc="T T T"
Hf -4.704 0.951 1.513
Pb -1.631 -0.795 -1.292
Hf -4.561 2.592 4.165
Hf -7.682 2.644 4.232
Hf -7.495 4.259 6.843
Hf -1.628 0.925 1.487
```

* energy: -9.400 eV per atom

The following is a PBEsol calculation of an optimized crystal structure of Hf3Pb, from the Alexandria database.

extended XYZ file:
```
4
Lattice="4.406 0.000 0.000 0.000 4.406 0.000 0.000 0.000 4.406" Properties=species:S:1:pos:R:3 pbc="T T T"
Hf 2.203 0.000 2.203
Hf 0.000 2.203 2.203
Pb 0.000 0.000 0.000
Hf 2.203 2.203 0.000
```

* energy: -8.940 eV per atom

The following is a PBEsol calculation of an optimized crystal structure of Hf3Pb, from the Alexandria database.

extended XYZ file:
```
4
Lattice="-4.245 -0.617 0.072 0.513 -3.760 -2.001 2.250 0.029 5.121" Properties=species:S:1:pos:R:3 pbc="T T T"
Pb 0.000 0.000 0.000
Hf -1.866 -2.189 -0.965
Hf -1.930 -1.388 2.114
Hf 0.449 -2.960 1.077
```

* energy: -8.945 eV per atom